Compound: La2PmTh6
Source: the Alexandria database
Functional: PBE
Structure: relaxed

```
La2PmTh6
1.0
3.563 0.000 0.000
-1.782 3.086 0.000
0.000 0.000 27.456
La Pm Th
2 1 6
Cartesian
0.000 0.000 4.699 La
0.000 0.000 22.757 La
0.000 2.057 13.728 Pm
0.000 0.000 10.707 Th
0.000 0.000 16.748 Th
0.000 2.057 1.645 Th
0.000 2.057 7.792 Th
0.000 2.057 19.664 Th
0.000 2.057 25.811 Th
```

Results
DOS(E_F)   1.694 states/eV per atom
Calculated total energy   -6.4639 eV per atom
Energy of formation from the pure elements   105.5 meV/atom
Total magnetic moment   0.00 μB/f.u.


Compound: La5PmTh2
Source: the Alexandria database
Functional: PBE
Structure: relaxed

```
La5PmTh2
1.0
3.619 0.000 0.000
0.000 8.970 0.000
-3.352 0.000 17.591
La Pm Th
10 2 4
Cartesian
-0.838 0.264 4.398 La
-2.514 8.705 13.193 La
-0.681 3.056 6.314 La
-2.357 5.914 15.110 La
-2.480 2.830 16.748 La
-0.804 6.140 7.952 La
1.071 2.830 9.639 La
2.747 6.140 0.844 La
2.624 3.056 2.481 La
0.948 5.914 11.277 La
-0.704 2.885 13.193 Pm
0.972 6.085 4.398 Pm
0.911 0.077 1.473 Th
-0.765 8.893 10.269 Th
1.032 0.077 7.323 Th
-0.644 8.893 16.118 Th
```

Results
DOS(E_F)   1.708 states/eV per atom
Calculated total energy   -5.4122 eV per atom
Energy of formation from the pure elements   116.2 meV/atom
Total magnetic moment   0.00 μB/f.u.


Compound: La4Pm5Th2
Source: the Alexandria database
Functional: PBE
Structure: relaxed

```
La4Pm5Th2
1.0
12.099 -1.807 0.000
12.099 1.807 0.000
-3.435 0.000 8.922
La Pm Th
4 5 2
Cartesian
-0.796 0.000 2.931 La
2.802 0.000 3.404 La
17.961 0.000 5.518 La
21.559 0.000 5.990 La
-0.335 0.000 8.697 Pm
3.034 0.000 7.341 Pm
12.099 0.000 0.000 Pm
17.729 0.000 1.580 Pm
21.098 0.000 0.225 Pm
8.170 0.000 3.228 Th
12.592 0.000 5.694 Th
```

Results
DOS(E_F)   1.524 states/eV per atom
Calculated total energy   -5.2008 eV per atom
Energy of formation from the pure elements   99.4 meV/atom
Total magnetic moment   0.00 μB/f.u.


Compound: La4Pm5Th4
Source: the Alexandria database
Functional: PBE
Structure: relaxed

```
La4Pm5Th4
1.0
-6.603 6.603 2.557
6.603 -6.603 2.557
6.603 6.603 -2.557
La Pm Th
4 5 4
Cartesian
3.110 2.012 0.000 La
4.591 -3.493 2.557 La
2.012 10.095 0.000 La
3.493 4.591 2.557 La
0.000 0.000 0.000 Pm
6.119 3.963 0.000 Pm
2.640 -0.483 2.557 Pm
3.963 7.086 0.000 Pm
0.483 2.640 2.557 Pm
8.057 0.969 0.000 Th
0.969 5.148 0.000 Th
5.633 1.455 2.557 Th
-1.455 5.633 2.557 Th
```

Results
DOS(E_F)   1.565 states/eV per atom
Calculated total energy   -5.5898 eV per atom
Energy of formation from the pure elements   36.5 meV/atom
Total magnetic moment   0.00 μB/f.u.


Compound: LaPmTh2
Source: the Alexandria database
Functional: PBE
Structure: relaxed

```
LaPmTh2
1.0
5.071 0.000 0.000
0.000 5.071 0.000
0.000 0.000 5.187
La Pm Th
1 1 2
Cartesian
0.000 0.000 0.000 La
2.535 2.535 0.000 Pm
0.000 2.535 2.593 Th
2.535 0.000 2.593 Th
```

Results
DOS(E_F)   1.511 states/eV per atom
Calculated total energy   -6.0520 eV per atom
Energy of formation from the pure elements   77.5 meV/atom
Total magnetic moment   0.00 μB/f.u.
Energy relative to the lowest polymorph listed for this composition   0.051 eV/atom


Compound: La2Pm3Th
Source: the Alexandria database
Functional: PBE
Structure: relaxed

```
La2Pm3Th
1.0
8.537 -3.568 0.000
8.537 3.568 0.000
-1.493 0.000 6.985
La Pm Th
4 6 2
Cartesian
2.550 0.007 0.541 La
1.804 -0.007 4.034 La
13.778 0.007 2.951 La
13.032 -0.007 6.443 La
8.164 1.805 1.746 Pm
5.363 0.011 2.973 Pm
4.617 -0.011 6.465 Pm
10.965 0.011 0.520 Pm
10.219 -0.011 4.012 Pm
7.418 -1.805 5.238 Pm
7.418 1.792 5.238 Th
8.164 -1.792 1.746 Th
```

Results
DOS(E_F)   1.532 states/eV per atom
Calculated total energy   -5.1265 eV per atom
Energy of formation from the pure elements   128.0 meV/atom
Total magnetic moment   0.00 μB/f.u.


Compound: LaPm2Th2
Source: the Alexandria database
Functional: PBE
Structure: relaxed

```
LaPm2Th2
1.0
3.624 0.000 0.000
-1.812 3.139 0.000
0.000 0.000 14.943
La Pm Th
1 2 2
Cartesian
0.000 0.000 0.000 La
0.000 2.092 11.895 Pm
1.812 1.046 3.047 Pm
0.000 2.092 6.036 Th
1.812 1.046 8.906 Th
```

Results
DOS(E_F)   1.570 states/eV per atom
Calculated total energy   -5.8096 eV per atom
Energy of formation from the pure elements   44.0 meV/atom
Total magnetic moment   0.00 μB/f.u.


Compound: La5Pm6Th
Source: the Alexandria database
Functional: PBE
Structure: relaxed

```
La5Pm6Th
1.0
3.198 -5.543 0.000
3.198 5.543 0.000
-2.136 0.000 11.912
La Pm Th
5 6 1
Cartesian
0.000 0.000 0.000 La
2.130 3.698 5.956 La
3.198 1.845 0.000 La
3.198 -1.845 0.000 La
2.130 -3.698 5.956 La
1.085 1.817 3.019 Pm
0.029 0.000 8.894 Pm
1.085 -1.817 3.019 Pm
3.175 1.817 8.893 Pm
4.230 0.000 3.018 Pm
3.175 -1.817 8.893 Pm
2.130 0.000 5.956 Th
```

Results
DOS(E_F)   1.560 states/eV per atom
Calculated total energy   -5.0243 eV per atom
Energy of formation from the pure elements   22.4 meV/atom
Total magnetic moment   0.00 μB/f.u.